Below is La2TbY4Er2 after structural relaxation, with properties calculated at the PBE-GGA level.

Cell lengths 6.217, 6.238, 8.043 Å; angles 82.57, 75.23, 80.28 degrees
Space group P-1 (No. 2)
Symmetry-distinct sites (fractional):
La1 0.172 0.330 0.332
Tb1 0.500 0.000 0.000
Y1 0.057 0.110 0.779
Y2 0.277 0.554 0.888
Er1 0.391 0.777 0.444

Raw total energy (eV per atom): -5.4694
DFT formation energy (eV per atom): 0.027
Magnetization (μB per cell): 0.000